RbNiSCl2 after structural relaxation, computed with PBE.

abc: 5.155 5.155 4.357
angles: 90.00 90.00 90.00
Positions (direct):
1 Rb 0.000 0.000 0.000
2 Ni 0.500 0.500 0.500
3 S 0.500 0.500 0.000
4 Cl 0.000 0.500 0.500
5 Cl 0.500 0.000 0.500

Values from the calculation:
distance to the lowest polymorph of the same formula = 0.0 meV/atom
SG = No. 123
D(E_F) = 2.28 states/eV per cell

=====

RbNiS2Cl after structural relaxation, computed with PBE.

abc: 4.416 4.416 6.287
angles: 90.00 90.00 90.00
Positions (direct):
1 Rb 0.000 0.000 0.000
2 Ni 0.500 0.500 0.500
3 S 0.000 0.500 0.500
4 S 0.500 0.000 0.500
5 Cl 0.500 0.500 0.000

Values from the calculation:
distance to the lowest polymorph of the same formula = 0.0 meV/atom
SG = No. 123
D(E_F) = 2.83 states/eV per cell

=====

RbNiSbCl6 after structural relaxation, computed with PBE.

abc: 6.688 6.688 7.317
angles: 90.00 90.00 120.00
Positions (direct):
1 Rb 0.000 0.000 0.000
2 Ni 0.333 0.667 0.500
3 Sb 0.667 0.333 0.500
4 Cl 0.029 0.386 0.695
5 Cl 0.029 0.643 0.305
6 Cl 0.357 0.386 0.305
7 Cl 0.357 0.971 0.695
8 Cl 0.614 0.643 0.695
9 Cl 0.614 0.971 0.305

Values from the calculation:
SG = No. 149

=====

RbScNiCl6 after structural relaxation, computed with PBE.

abc: 6.420 6.420 7.435
angles: 90.00 90.00 120.00
Positions (direct):
1 Rb 0.000 0.000 0.000
2 Sc 0.667 0.333 0.500
3 Ni 0.333 0.667 0.500
4 Cl 0.010 0.377 0.689
5 Cl 0.010 0.632 0.311
6 Cl 0.368 0.377 0.311
7 Cl 0.368 0.990 0.689
8 Cl 0.623 0.632 0.689
9 Cl 0.623 0.990 0.311

Values from the calculation:
SG = No. 149

=====

Rb2ScNiCl6 after structural relaxation, computed with PBE.

abc: 7.110 7.110 7.110
angles: 119.63 119.63 90.64
Positions (direct):
1 Rb 0.250 0.750 0.500
2 Rb 0.750 0.250 0.500
3 Sc 0.000 0.000 0.000
4 Ni 0.500 0.500 0.000
5 Cl 0.249 0.249 0.498
6 Cl 0.249 0.751 0.000
7 Cl 0.252 0.252 0.000
8 Cl 0.748 0.748 0.000
9 Cl 0.751 0.249 0.000
10 Cl 0.751 0.751 0.502

Values from the calculation:
SG = No. 139
D(E_F) = 9.43 states/eV per cell

=====

RbNiSeCl6 after structural relaxation, computed with PBE.

abc: 6.462 6.462 7.325
angles: 91.66 91.66 115.36
Positions (direct):
1 Rb 0.000 0.000 0.000
2 Ni 0.337 0.663 0.500
3 Se 0.677 0.323 0.500
4 Cl 0.026 0.366 0.671
5 Cl 0.062 0.648 0.287
6 Cl 0.352 0.938 0.713
7 Cl 0.382 0.364 0.312
8 Cl 0.634 0.974 0.329
9 Cl 0.636 0.618 0.688

Values from the calculation:
SG = No. 5
D(E_F) = 1.65 states/eV per cell

=====

RbNi2SeCl after structural relaxation, computed with PBE.

abc: 4.373 4.373 6.884
angles: 90.00 90.00 90.00
Positions (direct):
1 Rb 0.000 0.000 0.000
2 Ni 0.000 0.500 0.500
3 Ni 0.500 0.000 0.500
4 Se 0.500 0.500 0.000
5 Cl 0.500 0.500 0.500

Values from the calculation:
SG = No. 123
D(E_F) = 7.94 states/eV per cell

=====

Rb3SrNi2Cl9 after structural relaxation, computed with PBE.

abc: 7.215 7.215 9.115
angles: 90.00 90.00 120.00
Positions (direct):
1 Rb 0.000 0.000 0.000
2 Rb 0.333 0.667 0.704
3 Rb 0.667 0.333 0.296
4 Sr 0.000 0.000 0.500
5 Ni 0.333 0.667 0.158
6 Ni 0.667 0.333 0.842
7 Cl 0.000 0.500 0.000
8 Cl 0.178 0.356 0.308
9 Cl 0.178 0.822 0.308
10 Cl 0.356 0.178 0.692
11 Cl 0.500 0.000 0.000
12 Cl 0.500 0.500 0.000
13 Cl 0.644 0.822 0.308
14 Cl 0.822 0.178 0.692
15 Cl 0.822 0.644 0.692

Values from the calculation:
SG = No. 164

=====

Rb2SrNiCl6 after structural relaxation, computed with PBE.

abc: 7.440 7.440 7.440
angles: 60.00 60.00 60.00
Positions (direct):
1 Rb 0.250 0.250 0.250
2 Rb 0.750 0.750 0.750
3 Sr 0.000 0.000 0.000
4 Ni 0.500 0.500 0.500
5 Cl 0.270 0.270 0.730
6 Cl 0.270 0.730 0.270
7 Cl 0.270 0.730 0.730
8 Cl 0.730 0.270 0.270
9 Cl 0.730 0.270 0.730
10 Cl 0.730 0.730 0.270

Values from the calculation:
SG = No. 225

=====

Rb2TaNiCl6 after structural relaxation, computed with PBE.

abc: 7.179 7.179 7.179
angles: 113.65 113.65 101.40
Positions (direct):
1 Rb 0.250 0.750 0.500
2 Rb 0.750 0.250 0.500
3 Ta 0.000 0.000 0.000
4 Ni 0.500 0.500 0.000
5 Cl 0.222 0.222 0.444
6 Cl 0.222 0.778 0.000
7 Cl 0.268 0.268 0.000
8 Cl 0.732 0.732 0.000
9 Cl 0.778 0.222 0.000
10 Cl 0.778 0.778 0.556

Values from the calculation:
SG = No. 139
D(E_F) = 8.67 states/eV per cell

=====

RbTbNiCl6 after structural relaxation, computed with PBE.

abc: 6.642 6.642 7.387
angles: 90.00 90.00 120.00
Positions (direct):
1 Rb 0.000 0.000 0.000
2 Tb 0.333 0.667 0.500
3 Ni 0.667 0.333 0.500
4 Cl 0.384 0.026 0.696
5 Cl 0.384 0.358 0.304
6 Cl 0.642 0.026 0.304
7 Cl 0.642 0.616 0.696
8 Cl 0.974 0.358 0.696
9 Cl 0.974 0.616 0.304

Values from the calculation:
SG = No. 149

=====

Rb2TcNiCl6 after structural relaxation, computed with PBE.

abc: 6.950 6.950 6.950
angles: 115.34 115.34 98.28
Positions (direct):
1 Rb 0.250 0.750 0.500
2 Rb 0.750 0.250 0.500
3 Tc 0.000 0.000 0.000
4 Ni 0.500 0.500 0.000
5 Cl 0.232 0.232 0.465
6 Cl 0.232 0.768 0.000
7 Cl 0.263 0.263 0.000
8 Cl 0.737 0.737 0.000
9 Cl 0.768 0.232 0.000
10 Cl 0.768 0.768 0.535

Values from the calculation:
SG = No. 139
D(E_F) = 2.14 states/eV per cell

=====

Asked for E_form (uncorrected) across the records above, the calculation gives -0.735; -0.430; -1.013; -1.582; -1.634; -0.684; 0.408; -1.451; -1.664; -1.184; -1.650; -1.010 eV/atom in order.